1.
DFT (PBE) results for a geometry-optimized LaSiRh2 structure.

Energy relative to the elements, uncorrected (eV/f.u.): -2.00
Uncorrected energy (eV for the cell shown): -27.06
Density of states at the Fermi level (states/eV/cell): 2.153

abc: 4.4045 7.3215 3.7154
angles: 58.26 90.89 127.54
Positions (direct):
La (0.5000, 0.0000, 0.5000)
Rh (0.0000, 0.0000, 0.0000)
Rh (0.0000, 0.5000, 0.5000)
Si (0.5000, 0.5000, 0.0000)

=====

2.
DFT (PBE) results for a geometry-optimized ZnReP4 structure.

Formation enthalpy at 0 K (eV per formula unit): 5.6
Uncorrected energy (eV for the cell shown): -29.78
Density of states at the Fermi level (states/eV/cell): 4.301

abc: 4.9503 4.9503 4.9503
angles: 60.00 60.00 60.00
Positions (direct):
Zn (0.0000, 0.0000, 0.0000)
Re (0.7500, 0.7500, 0.7500)
P (0.8732, 0.3756, 0.3756)
P (0.3756, 0.3756, 0.8732)
P (0.3756, 0.8732, 0.3756)
P (0.3756, 0.3756, 0.3756)

=====

3.
DFT (PBE) results for a geometry-optimized AgRh2Br structure.

Distance to the lowest polymorph of the same formula (meV per atom): 286.1
Energy relative to the elements, uncorrected (eV/f.u.): 2.36
Uncorrected energy (eV for the cell shown): -16.86
Density of states at the Fermi level (states/eV/cell): 4.291

abc: 2.9566 2.9566 9.0833
angles: 90.00 90.00 121.12
Positions (direct):
Rh (0.0000, 0.0000, 0.9895)
Rh (0.0000, 0.0000, 0.5105)
Br (0.5000, 0.5000, 0.7500)
Ag (0.5000, 0.5000, 0.2500)

=====

4.
DFT (PBE) results for a geometry-optimized CaTeAs2 structure.

Energy relative to the elements, uncorrected (eV/f.u.): -2.51
Uncorrected energy (eV for the cell shown): -16.95
Density of states at the Fermi level (states/eV/cell): 0.004

abc: 4.0389 4.7192 7.3044
angles: 55.46 90.00 90.00
Positions (direct):
As (0.0000, 0.9193, 0.1156)
As (0.5000, 0.2189, 0.1602)
Te (0.5000, 0.9263, 0.6141)
Ca (0.0000, 0.4355, 0.6102)

=====

5.
DFT (PBE) results for a geometry-optimized Nd3IrPb structure.

Formation enthalpy at 0 K (eV per formula unit): -3.0
Distance to the lowest polymorph of the same formula (meV per atom): 0.0
Uncorrected energy (eV for the cell shown): -119.66
Density of states at the Fermi level (states/eV/cell): 13.232

abc: 4.5826 8.4664 15.4271
angles: 90.00 90.00 90.00
Positions (direct):
Nd (0.2500, 0.2937, 0.5051)
Nd (0.7500, 0.7761, 0.2046)
Nd (0.7500, 0.5511, 0.8659)
Nd (0.7500, 0.0511, 0.6341)
Nd (0.7500, 0.7063, 0.4949)
Nd (0.2500, 0.9489, 0.3659)
Nd (0.2500, 0.7937, 0.9949)
Nd (0.7500, 0.2761, 0.2954)
Nd (0.2500, 0.7239, 0.7046)
Nd (0.2500, 0.2239, 0.7954)
Nd (0.7500, 0.2063, 0.0051)
Nd (0.2500, 0.4489, 0.1341)
Ir (0.2500, 0.4098, 0.9457)
Ir (0.2500, 0.9098, 0.5543)
Ir (0.7500, 0.0902, 0.4457)
Ir (0.7500, 0.5902, 0.0543)
Pb (0.7500, 0.9407, 0.8411)
Pb (0.2500, 0.0593, 0.1589)
Pb (0.7500, 0.4407, 0.6589)
Pb (0.2500, 0.5593, 0.3411)

=====

6.
DFT (PBE) results for a geometry-optimized Rb2MnAg2Cl6 structure.

Energy relative to the elements, uncorrected (eV/f.u.): -12.54
Uncorrected energy (eV for the cell shown): -40.43

abc: 7.7444 7.7444 7.8242
angles: 60.34 60.34 60.00
Site moments in Bohr magnetons follow the coordinates.
Positions (direct):
Rb (0.7752, 0.7752, 0.6743)  0.00
Rb (0.2248, 0.2248, 0.3257)  0.00
Mn (0.0000, 0.0000, 0.0000)  4.40
Ag (0.4225, 0.4225, 0.7325)  0.02
Ag (0.5775, 0.5775, 0.2675)  0.02
Cl (0.7702, 0.7702, 0.2450)  0.03
Cl (0.2146, 0.7702, 0.2450)  0.03
Cl (0.7702, 0.2146, 0.2450)  0.03
Cl (0.2298, 0.7854, 0.7550)  0.03
Cl (0.7854, 0.2298, 0.7550)  0.03
Cl (0.2298, 0.2298, 0.7550)  0.03